1.
A geometry-optimized Ba3SrSn2O6 structure. Source: Alexandria, functional PBE-GGA.

Values from the calculation:
DFT total energy: -72.02 eV/cell
total magnetization: 0.00 μB/atom
uncorrected formation energy: -2.234 eV/atom

Unit cell a=6.3464 b=6.3464 c=7.1541 alpha=90.00 beta=90.00 gamma=120.00
Space group P-3m1 (No. 164)
Asymmetric unit:
Ba1 0.0000 0.0000 0.0000 [1 per cell]
Ba2 0.3333 0.6667 0.6190 [2 per cell]
Sr1 0.0000 0.0000 0.5000 [1 per cell]
Sn1 0.3333 0.6667 0.1385 [2 per cell]
O1 0.1767 0.3534 0.2958 [6 per cell]


2.
A geometry-optimized DyAl2Ru structure. Source: Alexandria, functional PBE-GGA.

Values from the calculation:
DFT total energy: -23.46 eV/cell
total magnetization: 0.00 μB/atom
DFT formation energy: -523 meV/atom

Unit cell a=3.1364 b=3.1364 c=7.2654 alpha=90.00 beta=90.00 gamma=90.00
Space group P4/mmm (No. 123)
Asymmetric unit:
Dy1 0.0000 0.0000 0.0000 [1 per cell]
Al1 0.5000 0.5000 0.3128 [2 per cell]
Ru1 0.0000 0.0000 0.5000 [1 per cell]


3.
A geometry-optimized LaZnAs2Rh5 structure. Source: Alexandria, functional PBE-GGA.

Values from the calculation:
DFT total energy: -56.42 eV/cell
total magnetization: 0.00 μB/atom
DFT formation energy: -462 meV/atom

Unit cell a=4.1221 b=4.1221 c=10.1427 alpha=90.00 beta=90.00 gamma=90.00
Space group P4/mmm (No. 123)
Asymmetric unit:
La1 0.0000 0.0000 0.0000 [1 per cell]
Zn1 0.0000 0.0000 0.5000 [1 per cell]
As1 0.5000 0.5000 0.2349 [2 per cell]
Rh1 0.0000 0.5000 0.3516 [4 per cell]
Rh2 0.5000 0.5000 0.0000 [1 per cell]


> Which value of DFT total energy does entry 3 give?

-56.42 eV/cell